This record from the Alexandria database describes an optimized crystal structure of Ac6Hg3Ir2Au. The functional is GGA-PBE.

Space-group type   C2/m
Total magnetization   0.00 μB per formula unit
Volume   411.9 Å³ per cell
DOS at the Fermi energy   0.54 states/eV per atom
Energy of formation from the pure elements   -0.624 eV per atom

abc: 7.6414 7.6414 8.5040
angles: 98.56 98.56 119.71
With the nearest neighbours (Å) after each atom.
Positions (direct):
Ac 0.0763 0.4294 0.7896  2 Ir 3.00-3.01, 1 Au 3.20
Ac 0.2144 0.2144 0.2028  2 Ir 2.99, 1 Au 3.17
Ac 0.4294 0.0763 0.7896  2 Ir 3.00-3.01, 1 Au 3.20
Ac 0.5706 0.9237 0.2104  2 Ir 3.00-3.01, 1 Au 3.20
Ac 0.7856 0.7856 0.7972  2 Ir 2.99, 1 Au 3.17
Ac 0.9237 0.5706 0.2104  2 Ir 3.00-3.01, 1 Au 3.20
Hg 0.0000 0.0000 0.5000  6 Ac 3.40-3.53
Hg 0.3470 0.6530 0.5000  6 Ac 3.46-3.54
Hg 0.6530 0.3470 0.5000  6 Ac 3.46-3.54
Ir 0.1682 0.8318 0.0000  6 Ac 2.99-3.01
Ir 0.8318 0.1682 0.0000  6 Ac 2.99-3.01
Au 0.5000 0.5000 0.0000  6 Ac 3.17-3.20


This record from the Alexandria database describes an optimized crystal structure of LaGa12Ni6. The functional is GGA-PBE.

Space-group type   R-3m
Total magnetization   0.00 μB per formula unit
Volume   298.4 Å³ per cell
DOS at the Fermi energy   0.50 states/eV per atom
Energy of formation from the pure elements   -0.360 eV per atom

abc: 6.9513 6.9513 6.9513
angles: 104.23 104.23 104.23
With the nearest neighbours (Å) after each atom.
Positions (direct):
La 0.0000 0.0000 0.0000  6 Ga 3.23
Ga 0.1152 0.5000 0.8848  4 Ni 2.41-2.58, 1 Ga 2.53
Ga 0.1152 0.8848 0.5000  4 Ni 2.41-2.58, 1 Ga 2.53
Ga 0.1534 0.4108 0.4108  3 Ni 2.41-2.50
Ga 0.4108 0.1534 0.4108  3 Ni 2.41-2.50
Ga 0.4108 0.4108 0.1534  3 Ni 2.41-2.50
Ga 0.5000 0.1152 0.8848  4 Ni 2.41-2.58, 1 Ga 2.53
Ga 0.5000 0.8848 0.1152  4 Ni 2.41-2.58, 1 Ga 2.53
Ga 0.5892 0.5892 0.8466  3 Ni 2.41-2.50
Ga 0.5892 0.8466 0.5892  3 Ni 2.41-2.50
Ga 0.8466 0.5892 0.5892  3 Ni 2.41-2.50
Ga 0.8848 0.1152 0.5000  4 Ni 2.41-2.58, 1 Ga 2.53
Ga 0.8848 0.5000 0.1152  4 Ni 2.41-2.58, 1 Ga 2.53
Ni 0.2814 0.2814 0.7078  7 Ga 2.41-2.58
Ni 0.2814 0.7078 0.2814  7 Ga 2.41-2.58
Ni 0.2922 0.7186 0.7186  7 Ga 2.41-2.58
Ni 0.7078 0.2814 0.2814  7 Ga 2.41-2.58
Ni 0.7186 0.2922 0.7186  7 Ga 2.41-2.58
Ni 0.7186 0.7186 0.2922  7 Ga 2.41-2.58


This record from the Alexandria database describes an optimized crystal structure of CsKTl2Zn. The functional is GGA-PBE.

Space-group type   P4/mmm
Total magnetization   0.00 μB per formula unit
Volume   202.8 Å³ per cell
DOS at the Fermi energy   0.69 states/eV per atom
Energy of formation from the pure elements   0.079 eV per atom

abc: 5.6149 5.6149 6.4323
angles: 90.00 90.00 90.00
With the nearest neighbours (Å) after each atom.
Positions (direct):
Cs 0.0000 0.0000 0.0000  4 K 3.97, 8 Tl 4.27
K 0.5000 0.5000 0.0000  2 Zn 3.22
Tl 0.0000 0.5000 0.5000  2 Zn 2.81
Tl 0.5000 0.0000 0.5000  2 Zn 2.81
Zn 0.5000 0.5000 0.5000  4 Tl 2.81


This record from the Alexandria database describes an optimized crystal structure of PrMn2Si3. The functional is GGA-PBE.

Space-group type   Cmcm
Total magnetization   1.89 μB per formula unit
Formation energy (no corrections)   -0.513 eV/atom
Volume   187.1 Å³ per cell
DOS at the Fermi energy   0.61 states/eV per atom

abc: 6.1451 6.1451 5.1411
angles: 90.00 90.00 74.52
With the nearest neighbours (Å) after each atom.
Positions (direct):
Pr 0.1626 0.8374 0.7500  9 Si 3.04-3.24
Pr 0.8374 0.1626 0.2500  9 Si 3.04-3.24
Mn 0.3027 0.3027 0.0000  6 Si 2.35-2.45, 2 Mn 2.57
Mn 0.3027 0.3027 0.5000  6 Si 2.35-2.45, 2 Mn 2.57
Mn 0.6973 0.6973 0.0000  6 Si 2.35-2.45, 2 Mn 2.57
Mn 0.6973 0.6973 0.5000  6 Si 2.35-2.45, 2 Mn 2.57
Si 0.0279 0.5884 0.2500  4 Mn 2.35-2.45, 1 Si 2.44
Si 0.4116 0.9721 0.2500  4 Mn 2.35-2.45, 1 Si 2.44
Si 0.4287 0.5713 0.2500  4 Mn 2.38, 2 Si 2.44
Si 0.5713 0.4287 0.7500  4 Mn 2.38, 2 Si 2.44
Si 0.5884 0.0279 0.7500  4 Mn 2.35-2.45, 1 Si 2.44
Si 0.9721 0.4116 0.7500  4 Mn 2.35-2.45, 1 Si 2.44